# 1
10
Lattice="4.4541 0.0000 0.0000 0.0000 4.4541 0.0000 0.0000 0.0000 11.2202" Properties=species:S:1:pos:R:3 comment="PBE Sr2MgSn3Ir4, relaxed" energy_ev_per_atom=-5.70 formation_energy_mev_per_atom=-456 pbc="T T T"
Sr 2.2271 0.0000 2.7802
Ir 0.0000 2.2271 4.0965
Ir 0.0000 0.0000 0.0000
Sn 2.2271 0.0000 9.7796
Sr 0.0000 2.2271 8.4400
Mg 2.2271 2.2271 5.6101
Ir 2.2271 0.0000 7.1237
Sn 0.0000 0.0000 5.6101
Ir 2.2271 2.2271 0.0000
Sn 0.0000 2.2271 1.4407


# 2
10
Lattice="4.3061 0.0000 0.0000 0.0000 4.3061 0.0000 0.0000 0.0000 11.5541" Properties=species:S:1:pos:R:3 comment="PBE Th2MgSn3Ir4, relaxed" energy_ev_per_atom=-6.93 formation_energy_mev_per_atom=-546 pbc="T T T"
Ir 2.1531 0.0000 7.4801
Ir 2.1531 2.1531 0.0000
Th 2.1531 0.0000 2.9696
Sn 0.0000 0.0000 5.7770
Sn 2.1531 0.0000 10.0643
Th 0.0000 2.1531 8.5845
Mg 2.1531 2.1531 5.7770
Ir 0.0000 0.0000 0.0000
Sn 0.0000 2.1531 1.4897
Ir 0.0000 2.1531 4.0739


# 3
5
Lattice="5.1059 0.0000 0.0000 0.0000 5.1059 0.0000 0.0000 0.0000 5.0125" Properties=species:S:1:pos:R:3 comment="PBE MgSn2IrW, relaxed" energy_ev_per_atom=-5.37 formation_energy_mev_per_atom=910 pbc="T T T"
Mg 2.5530 2.5530 2.5063
W 0.0000 0.0000 2.5063
Ir 0.0000 0.0000 0.0000
Sn 2.5530 0.0000 0.0000
Sn 0.0000 2.5530 0.0000


# 4
11
Lattice="6.0540 0.0000 0.0000 3.0270 6.6514 0.4624 3.0270 2.1298 7.0247" Properties=species:S:1:pos:R:3 comment="PBE Sr2Mg5Ir4, relaxed" energy_ev_per_atom=-4.41 formation_energy_mev_per_atom=-155 pbc="T T T"
Sr 6.0540 1.8835 2.6918
Mg 4.5543 3.9600 6.4491
Mg 3.0270 4.3906 3.7436
Sr 6.0540 6.8977 4.7954
Ir 9.0809 8.3466 6.3376
Mg 7.5537 3.9600 6.4491
Ir 9.0809 5.9680 5.7733
Ir 3.0270 0.4346 1.1496
Mg 4.5543 4.8213 1.0381
Mg 7.5537 4.8213 1.0381
Ir 3.0270 2.8132 1.7138


# 5
4
Lattice="-0.7866 2.3227 2.6972 -0.9403 -2.7998 2.1368 8.4976 -0.5808 2.9784" Properties=species:S:1:pos:R:3 comment="PBE Sr2MgIr, relaxed" energy_ev_per_atom=-3.49 formation_energy_mev_per_atom=-33 pbc="T T T"
Sr 7.8832 -0.5388 2.7631
Mg 4.8430 -0.6285 4.4171
Ir 4.7915 -0.3275 1.6794
Sr 1.9995 -0.4342 3.4205


# 6
20
Lattice="7.4244 0.0000 0.0000 0.0000 7.7000 0.2931 0.0000 -2.2153 8.9751" Properties=species:S:1:pos:R:3 comment="PBE SrMg3Ir, relaxed" energy_ev_per_atom=-3.28 formation_energy_mev_per_atom=-218 pbc="T T T"
Sr 4.1695 3.7736 6.6653
Ir 5.5614 -1.5044 7.7690
Mg 3.2843 5.7393 3.5945
Mg 6.5660 5.7783 5.5726
Sr 0.4572 0.6035 7.0905
Ir 5.5753 -0.3968 3.2815
Ir 1.8631 6.9891 1.4992
Sr 3.2550 1.7112 2.6030
Mg 6.9965 0.8530 1.1862
Mg 1.2006 3.5439 5.0552
Mg 2.5116 4.6515 0.5676
Mg 2.8538 -1.4012 8.1832
Mg 6.2238 1.9409 4.2130
Sr 6.9672 4.8812 2.1777
Mg 0.4279 4.6317 8.0821
Mg 4.9128 0.8332 8.7006
Ir 1.8492 5.8815 5.9868
Mg 4.1401 -0.2546 5.6737
Mg 0.8584 -0.2936 3.6957
Mg 4.5707 6.8860 1.0850


# 7
4
Lattice="-2.5690 1.1564 -3.3127 -0.4786 -2.6240 -3.4346 -7.8011 -4.3694 1.7256" Properties=species:S:1:pos:R:3 comment="PBE Sr2MgIr, relaxed" energy_ev_per_atom=-3.31 formation_energy_mev_per_atom=142 pbc="T T T"
Sr -5.9094 -3.1960 -2.2251
Mg -2.7122 -1.4593 -1.2554
Ir -8.1365 -4.3778 -3.7663
Sr -7.3160 -4.0919 1.4398


# 8
10
Lattice="-4.2349 -4.2492 0.5747 4.9047 -0.1615 3.3490 -4.6486 5.2171 4.3202" Properties=species:S:1:pos:R:3 comment="PBE Sr2MgIr2, relaxed" energy_ev_per_atom=-4.79 formation_energy_mev_per_atom=-251 pbc="T T T"
Mg -3.8840 3.5139 3.2941
Sr 0.9122 0.8364 4.0000
Ir -1.1371 5.0140 6.6981
Sr -2.6057 2.2474 6.3221
Mg -4.9994 -2.5460 1.6008
Sr -4.8908 -0.0300 4.2439
Sr -1.3730 -1.4409 1.9218
Ir -1.7606 -0.5523 4.9380
Ir -2.2181 1.3588 3.3059
Ir -2.8416 -4.2076 1.5458


# 9
4
Lattice="-4.0455 -1.2257 -1.7157 2.0928 -3.1417 -2.6903 0.4758 -5.5459 2.8401" Properties=species:S:1:pos:R:3 comment="PBE Sr2MgIr, relaxed" energy_ev_per_atom=-3.58 formation_energy_mev_per_atom=-122 pbc="T T T"
Sr -1.3047 -3.3622 -0.5868
Sr 2.4894 -8.1313 -0.0609
Ir 1.6701 -4.9871 -0.3754
Mg -0.4788 -6.4642 -0.3182


# 10
5
Lattice="-2.8833 -4.9115 2.7212 4.8327 -0.6131 4.0138 -2.8589 3.9169 4.0405" Properties=species:S:1:pos:R:3 comment="PBE SrMg3Ir, relaxed" energy_ev_per_atom=-1.13 formation_energy_mev_per_atom=1938 pbc="T T T"
Sr 0.0000 0.0000 0.0000
Ir -0.4547 -0.8039 5.3878
Mg -1.4416 -2.4558 1.3606
Mg -1.4294 1.9585 2.0203
Mg 2.4163 -0.3066 2.0069


# 11
8
Lattice="-0.6187 -10.1209 4.2368 5.3898 -3.9766 -8.7123 4.6112 -6.6791 -1.0296" Properties=species:S:1:pos:R:3 comment="PBE Sr2MgIr, relaxed" energy_ev_per_atom=-3.49 formation_energy_mev_per_atom=-40 pbc="T T T"
Sr 3.1505 -14.0375 2.5575
Ir 0.0000 0.0000 0.0000
Sr 1.3357 -10.1961 2.0148
Sr 4.3402 -9.6265 -0.9839
Mg 2.3855 -7.0488 -2.2377
Ir 3.1890 -11.9244 0.4848
Mg 6.1932 -8.8523 -5.9898
Sr 3.9295 -13.8375 -1.6493


# 12
12
Lattice="6.3548 -0.4130 3.0272 -0.7122 6.3282 3.0272 1.0516 1.1024 11.9845" Properties=species:S:1:pos:R:3 comment="PBE Sr3Mg2Ir, relaxed" energy_ev_per_atom=-2.94 formation_energy_mev_per_atom=-89 pbc="T T T"
Mg 4.6799 3.6262 8.1871
Sr -0.0595 1.4551 1.2574
Ir 2.6256 4.7235 12.0156
Mg 3.9273 5.3969 14.1793
Mg 2.0143 3.3914 9.8518
Sr 1.9820 0.5604 7.2496
Ir 4.0686 2.2942 6.0233
Sr 1.8791 4.3828 6.0233
Sr 4.8151 2.6349 12.0156
Sr 4.7121 6.4573 10.7893
Mg 2.7669 1.6208 3.8596
Sr 6.7537 5.5626 16.7815